(1)
Computed, not measured: an optimized crystal structure of YErBi2O6 at the GGA-PBE level of DFT.

volume: 15.9 Å³/atom
crystal system: trigonal
ΔE_f (raw): -2294.8 kJ/mol of formula units

a = 6.010 Å, b = 6.010 Å, c = 6.151 Å
α = 60.76°, β = 60.76°, γ = 59.99°
Sites, in units of the cell vectors:
Y  0.808  0.808  0.575
Er  0.309  0.309  0.072
Bi  0.522  0.522  0.433
Bi  0.022  0.022  0.934
O  0.619  0.177  0.249
O  0.177  0.955  0.249
O  0.955  0.619  0.249
O  0.451  0.675  0.751
O  0.675  0.123  0.751
O  0.123  0.451  0.751

(2)
Computed, not measured: an optimized crystal structure of Er6BiOs2 at the GGA-PBE level of DFT.

volume: 26.2 Å³/atom
crystal system: orthorhombic
DFT formation energy: -0.38 eV/atom

a = 8.507 Å, b = 8.507 Å, c = 8.507 Å
α = 105.23°, β = 110.81°, γ = 112.46°
Sites, in units of the cell vectors:
Er  0.536  0.719  0.816
Er  0.464  0.281  0.184
Er  0.097  0.281  0.816
Er  0.903  0.719  0.184
Er  0.782  0.758  0.540
Er  0.218  0.242  0.460
Er  0.218  0.758  0.976
Er  0.782  0.242  0.024
Er  0.686  0.354  0.668
Er  0.314  0.646  0.332
Er  0.314  0.983  0.668
Er  0.686  0.017  0.332
Bi  0.000  0.500  0.500
Bi  0.000  0.000  0.000
Os  0.500  0.378  0.878
Os  0.500  0.622  0.122
Os  0.665  0.000  0.665
Os  0.335  0.000  0.335

(3)
Computed, not measured: an optimized crystal structure of Er5Bi2Os at the GGA-PBE level of DFT.

volume: 39.3 Å³/atom
crystal system: orthorhombic
DFT formation energy: -0.16 eV/atom

a = 5.516 Å, b = 8.368 Å, c = 14.413 Å
α = 90.00°, β = 90.00°, γ = 109.25°
Sites, in units of the cell vectors:
Er  0.947  0.894  0.876
Er  0.947  0.894  0.624
Er  0.277  0.553  0.397
Er  0.277  0.553  0.103
Er  0.699  0.397  0.250
Er  0.301  0.603  0.750
Er  0.723  0.447  0.603
Er  0.723  0.447  0.897
Er  0.053  0.106  0.124
Er  0.053  0.106  0.376
Bi  0.859  0.717  0.428
Bi  0.859  0.717  0.072
Bi  0.141  0.283  0.572
Bi  0.141  0.283  0.928
Os  0.827  0.653  0.750
Os  0.173  0.347  0.250

(4)
Computed, not measured: an optimized crystal structure of Er4Bi2Os at the GGA-PBE level of DFT.

volume: 29.8 Å³/atom
crystal system: orthorhombic
DFT formation energy: -0.51 eV/atom

a = 4.356 Å, b = 7.911 Å, c = 12.123 Å
α = 90.00°, β = 90.00°, γ = 90.00°
Sites, in units of the cell vectors:
Er  0.000  0.632  0.803
Er  0.000  0.368  0.197
Er  0.000  0.132  0.697
Er  0.000  0.868  0.303
Er  0.500  0.794  0.557
Er  0.500  0.206  0.443
Er  0.500  0.706  0.057
Er  0.500  0.294  0.943
Bi  0.500  0.922  0.828
Bi  0.500  0.078  0.172
Bi  0.500  0.422  0.672
Bi  0.500  0.578  0.328
Os  0.000  0.000  0.500
Os  0.000  0.500  0.000

(5)
Computed, not measured: an optimized crystal structure of Er5Bi4Os at the GGA-PBE level of DFT.

volume: 29.3 Å³/atom
crystal system: tetragonal
DFT formation energy: -0.54 eV/atom

a = 6.235 Å, b = 7.531 Å, c = 7.531 Å
α = 80.13°, β = 65.55°, γ = 65.55°
Sites, in units of the cell vectors:
Er  0.929  0.358  0.827
Er  0.286  0.827  0.642
Er  0.756  0.173  0.358
Er  0.113  0.642  0.173
Er  0.387  0.000  0.000
Bi  0.439  0.386  0.785
Bi  0.825  0.785  0.614
Bi  0.224  0.215  0.386
Bi  0.609  0.614  0.215
Os  0.942  0.000  0.000

(6)
Computed, not measured: an optimized crystal structure of Er5BiOs at the GGA-PBE level of DFT.

volume: 33.8 Å³/atom
crystal system: monoclinic
DFT formation energy: -0.08 eV/atom

a = 7.323 Å, b = 7.323 Å, c = 9.810 Å
α = 74.91°, β = 74.91°, γ = 71.94°
Sites, in units of the cell vectors:
Er  0.901  0.665  0.150
Er  0.176  0.631  0.471
Er  0.665  0.901  0.650
Er  0.892  0.108  0.250
Er  0.369  0.824  0.029
Er  0.631  0.176  0.971
Er  0.108  0.892  0.750
Er  0.335  0.099  0.350
Er  0.824  0.369  0.529
Er  0.099  0.335  0.850
Bi  0.537  0.463  0.250
Bi  0.463  0.537  0.750
Os  0.000  0.000  0.000
Os  0.000  0.000  0.500

(7)
Computed, not measured: an optimized crystal structure of Er2BiOs at the GGA-PBE level of DFT.

volume: 24.4 Å³/atom
crystal system: tetragonal
DFT formation energy: -0.48 eV/atom

a = 3.403 Å, b = 3.403 Å, c = 8.427 Å
α = 90.00°, β = 90.00°, γ = 90.00°
Sites, in units of the cell vectors:
Os  0.500  0.500  0.000
Bi  0.500  0.500  0.500
Er  0.000  0.000  0.805
Er  0.000  0.000  0.195

(8)
Computed, not measured: an optimized crystal structure of ErBiP2 at the GGA-PBE level of DFT.

volume: 23.8 Å³/atom
crystal system: trigonal
DFT formation energy: -0.66 eV/atom

a = 4.052 Å, b = 4.052 Å, c = 7.089 Å
α = 73.40°, β = 73.40°, γ = 60.00°
Sites, in units of the cell vectors:
P  0.246  0.246  0.262
P  0.754  0.754  0.738
Bi  0.000  0.000  0.000
Er  0.500  0.500  0.500

| no. | DOS at the Fermi energy (states/eV/cell) |
| --- | --- |
| 1 | 0.00 |
| 2 | 16.56 |
| 3 | 11.13 |
| 4 | 8.38 |
| 5 | 4.71 |
| 6 | 12.50 |
| 7 | 1.19 |
| 8 | 0.06 |